No. 1
CuIr2Pt (PBE-GGA, relaxed); formation enthalpy at 0 K = 0.21 eV per atom; E = -6.76 eV per atom; ΔE to the lowest computed polymorph = 202 meV/atom; ρ = 18.3 g/cm³
1.0
-3.756 3.263 1.905
-1.079 -0.042 5.217
3.392 0.860 -4.017
Cu Ir Pt
1 2 1
Direct
0.248 0.748 0.500 Cu
0.756 0.256 0.500 Ir
0.998 0.998 0.000 Ir
0.498 0.498 0.000 Pt

No. 2
SrPPb3 (PBE-GGA, relaxed); formation enthalpy at 0 K = 0.08 eV per atom; E = -3.57 eV per atom; ΔE to the lowest computed polymorph = 0 meV/atom; ρ = 7.2 g/cm³
1.0
-3.055 2.935 -3.576
-4.495 -2.899 1.460
-1.097 3.704 3.977
Sr Pb P
1 3 1
Direct
0.500 0.500 0.500 Sr
0.000 0.500 0.000 Pb
0.500 0.000 0.000 Pb
0.000 0.000 0.500 Pb
0.000 0.000 0.000 P

No. 3
ZrTi2O (PBE-GGA, relaxed); formation energy without anion corrections = -0.963 eV/atom; E = -8.29 eV per atom; ρ = 4.6 g/cm³
1.0
-3.341 2.244 -4.516
-2.846 -5.311 -0.534
-5.827 -0.332 0.094
O Ti Zr
2 4 2
Direct
0.250 0.750 0.500 O
0.500 0.500 0.000 O
0.375 0.526 0.750 Ti
0.276 0.625 0.250 Ti
0.875 0.724 0.750 Ti
0.474 0.125 0.250 Ti
0.000 0.000 0.000 Zr
0.750 0.250 0.500 Zr

No. 4
ErZr2Fe (PBE-GGA, relaxed); formation enthalpy at 0 K = -0.07 eV per atom; E = -7.60 eV per atom; ΔE to the lowest computed polymorph = 0 meV/atom; ρ = 7.8 g/cm³
1.0
-5.633 1.732 0.331
0.023 -1.145 6.382
2.688 8.456 1.507
Fe Zr Er
4 8 4
Direct
0.900 0.608 0.750 Fe
0.600 0.108 0.750 Fe
0.100 0.392 0.250 Fe
0.400 0.892 0.250 Fe
0.330 0.174 0.063 Zr
0.330 0.174 0.437 Zr
0.670 0.826 0.937 Zr
0.170 0.674 0.437 Zr
0.670 0.826 0.563 Zr
0.170 0.674 0.063 Zr
0.830 0.326 0.937 Zr
0.830 0.326 0.563 Zr
0.135 0.968 0.750 Er
0.365 0.468 0.750 Er
0.635 0.532 0.250 Er
0.865 0.032 0.250 Er

No. 5
RhBrN3 (PBE-GGA, relaxed); formation energy without anion corrections = 1.891 eV/atom; E = -4.91 eV per atom; ρ = 6.1 g/cm³
1.0
-3.538 1.203 1.240
1.144 -0.484 3.736
1.294 3.717 0.085
N Rh Br
3 1 1
Direct
0.500 0.000 0.000 N
0.000 0.000 0.500 N
0.000 0.500 0.000 N
0.000 0.000 0.000 Rh
0.500 0.500 0.500 Br

No. 6
NaIn6Bi5 (PBE-GGA, relaxed); formation enthalpy at 0 K = 0.01 eV per atom; E = -3.09 eV per atom; ρ = 8.2 g/cm³
1.0
-2.827 -5.127 -1.075
6.900 2.625 -5.147
7.334 0.215 5.212
In Bi Na
6 5 1
Direct
0.752 0.913 0.582 In
0.248 0.087 0.418 In
0.752 0.582 0.913 In
0.248 0.418 0.087 In
0.258 0.742 0.742 In
0.742 0.258 0.258 In
0.000 0.318 0.682 Bi
0.000 0.682 0.318 Bi
0.500 0.500 0.500 Bi
0.500 0.842 0.158 Bi
0.500 0.158 0.842 Bi
0.000 0.000 0.000 Na